meta-GGA SCAN Pt2RhBr, single point on PBEsol structure; energy above the lowest structure with this stoichiometry = 0.000 eV/atom; space group = R3m (160); uncorrected formation energy = 0.49 eV/atom
1.0
2.941 0.000 0.000
1.471 2.547 0.000
1.471 0.849 8.474
Rh Br Pt
1 1 2
Cartesian
2.941 1.698 4.232
1.471 0.849 2.279
1.471 0.849 8.409
4.412 2.547 6.264

meta-GGA SCAN CoNiPt, single point on PBEsol structure; energy above the lowest structure with this stoichiometry = 0.106 eV/atom; space group = P3m1 (156)
1.0
2.615 0.000 0.000
-1.307 2.264 0.000
0.000 0.000 6.215
Ni Co Pt
1 1 1
Cartesian
0.000 1.510 4.242
0.000 0.000 6.123
1.307 0.755 2.064

meta-GGA SCAN CoSi2Hg, single point on PBEsol structure; space group = P4/mmm (123); uncorrected formation energy = 0.68 eV/atom
1.0
-0.240 -1.322 3.569
-2.437 -2.807 -1.203
3.045 -2.356 -0.668
Co Hg Si
1 1 2
Cartesian
0.184 -3.243 0.849
-0.120 -0.661 1.785
1.522 -1.178 -0.334
-1.219 -1.404 -0.602

meta-GGA SCAN HfCuGeAs, single point on PBEsol structure; raw total energy = -29.850 eV per atom; space group = P4/nmm (129)
1.0
-0.373 -0.933 -3.533
3.652 -0.205 -0.331
-0.290 -9.112 2.436
Hf Cu Ge As
2 2 2 2
Cartesian
1.602 -7.143 1.717
-0.252 -2.538 -1.213
1.495 -5.125 -0.714
-0.145 -4.556 1.218
1.640 -0.569 -1.932
0.000 0.000 0.000
1.733 -3.025 0.616
-0.384 -6.656 -0.112

meta-GGA SCAN MnPSe2, single point on PBEsol structure; space group = Pmmm (47); uncorrected formation energy = 0.00 eV/atom
1.0
3.542 0.000 0.000
0.000 3.505 0.000
0.000 0.000 6.825
Mn P Se
1 1 2
Cartesian
1.771 1.752 0.000
1.771 0.000 3.412
0.000 0.000 0.000
0.000 1.752 3.412

meta-GGA SCAN MgZn2Cl, single point on PBEsol structure; energy above the lowest structure with this stoichiometry = 0.000 eV/atom; space group = Pm (6); uncorrected formation energy = -0.44 eV/atom
1.0
3.367 0.000 0.000
0.000 3.168 0.101
0.000 -0.048 7.554
Cl Mg Zn
1 1 2
Cartesian
0.000 0.972 3.631
1.684 0.649 1.912
0.000 0.729 6.165
1.684 2.282 7.327

meta-GGA SCAN NaTl2Rh2, single point on PBEsol structure; energy above the lowest structure with this stoichiometry = 0.000 eV/atom; space group = P4/mbm (127)
1.0
3.066 0.000 0.000
0.000 7.848 0.000
0.000 0.000 7.848
Na Tl Rh
2 4 4
Cartesian
0.000 0.000 0.000
0.000 3.924 3.924
0.000 2.686 6.610
0.000 6.610 5.161
0.000 5.161 1.238
0.000 1.238 2.686
1.533 1.083 5.007
1.533 5.007 6.765
1.533 6.765 2.841
1.533 2.841 1.083

meta-GGA SCAN ZrBe4, single point on PBEsol structure; energy above the lowest structure with this stoichiometry = 0.000 eV/atom; space group = I4/mmm (139)
1.0
-2.496 2.190 -1.344
-2.449 -2.594 0.320
1.545 1.564 4.453
Be Zr
4 1
Cartesian
-1.711 1.776 1.298
-1.688 -0.616 2.131
-2.698 0.130 0.449
-0.701 1.030 2.980
0.000 0.000 0.000

M_tot (computed, Bohr magnetons per cell): 0.0; 2.9; 1.5; 0.0; 4.7; 0.0; 0.0; 0.0